Material: Nd6SiGe2Se3
Method: DFT, PBE
State: relaxed

Structure (CIF):
```
data_Nd6SiGe2Se3
_chemical_formula_sum 'Nd6 Si1 Ge2 Se3'
_cell_length_a 4.274
_cell_length_b 8.585
_cell_length_c 9.590
_cell_angle_alpha 103.63
_cell_angle_beta 102.87
_cell_angle_gamma 90.00
_symmetry_space_group_name_H-M 'P 1'
_symmetry_Int_Tables_number 1
loop_
_symmetry_equiv_pos_as_xyz
'x,y,z'
loop_
_atom_site_label
_atom_site_fract_x
_atom_site_fract_y
_atom_site_fract_z
Nd1 0.336 0.912 0.672
Nd2 0.668 0.578 0.337
Nd3 0.664 0.088 0.328
Nd4 0.002 0.243 0.003
Nd5 0.998 0.757 0.997
Nd6 0.332 0.422 0.663
Si1 0.500 0.000 0.000
Ge1 0.833 0.667 0.667
Ge2 0.167 0.333 0.333
Se1 0.500 0.500 0.000
Se2 0.833 0.167 0.666
Se3 0.167 0.833 0.334
```

Formation energy without anion corrections (meV/atom): -1364
Volume (Å³/atom): 27.74
D(E_F) (states/eV per cell): 2.96


Material: CaCuTe3
Method: DFT, PBE
State: relaxed

Structure (CIF):
```
data_CaCuTe3
_chemical_formula_sum 'Ca1 Cu1 Te3'
_cell_length_a 5.226
_cell_length_b 5.226
_cell_length_c 5.226
_cell_angle_alpha 90.00
_cell_angle_beta 90.00
_cell_angle_gamma 90.00
_symmetry_space_group_name_H-M 'P 1'
_symmetry_Int_Tables_number 1
loop_
_symmetry_equiv_pos_as_xyz
'x,y,z'
loop_
_atom_site_label
_atom_site_fract_x
_atom_site_fract_y
_atom_site_fract_z
Ca1 0.500 0.500 0.500
Te1 0.000 0.500 0.000
Te2 0.000 0.000 0.500
Te3 0.500 0.000 0.000
Cu1 0.000 0.000 0.000
```

Formation energy without anion corrections (meV/atom): -285
Volume (Å³/atom): 28.55
D(E_F) (states/eV per cell): 3.79


Material: Dy2Ga13
Method: DFT, PBE
State: relaxed

Structure (CIF):
```
data_Dy2Ga13
_chemical_formula_sum 'Dy2 Ga13'
_cell_length_a 7.245
_cell_length_b 7.245
_cell_length_c 8.291
_cell_angle_alpha 64.09
_cell_angle_beta 64.09
_cell_angle_gamma 60.00
_symmetry_space_group_name_H-M 'P 1'
_symmetry_Int_Tables_number 1
loop_
_symmetry_equiv_pos_as_xyz
'x,y,z'
loop_
_atom_site_label
_atom_site_fract_x
_atom_site_fract_y
_atom_site_fract_z
Dy1 0.265 0.265 0.204
Dy2 0.735 0.735 0.796
Ga1 0.500 0.500 0.500
Ga2 0.649 0.241 0.869
Ga3 0.241 0.241 0.869
Ga4 0.241 0.649 0.869
Ga5 0.759 0.351 0.131
Ga6 0.351 0.759 0.131
Ga7 0.759 0.759 0.131
Ga8 0.648 0.001 0.351
Ga9 0.001 0.001 0.351
Ga10 0.001 0.648 0.351
Ga11 0.999 0.352 0.649
Ga12 0.352 0.999 0.649
Ga13 0.999 0.999 0.649
```

Volume (Å³/atom): 21.70
Calculated formation energy (eV/atom): -0.129
D(E_F) (states/eV per cell): 6.24


Material: NiRhC3
Method: DFT, PBE
State: relaxed

Structure (CIF):
```
data_NiRhC3
_chemical_formula_sum 'Ni1 Rh1 C3'
_cell_length_a 3.714
_cell_length_b 3.714
_cell_length_c 3.714
_cell_angle_alpha 90.00
_cell_angle_beta 90.00
_cell_angle_gamma 90.00
_symmetry_space_group_name_H-M 'P 1'
_symmetry_Int_Tables_number 1
loop_
_symmetry_equiv_pos_as_xyz
'x,y,z'
loop_
_atom_site_label
_atom_site_fract_x
_atom_site_fract_y
_atom_site_fract_z
Ni1 0.000 0.000 0.000
C1 0.000 0.500 0.000
C2 0.000 0.000 0.500
C3 0.500 0.000 0.000
Rh1 0.500 0.500 0.500
```

Volume (Å³/atom): 10.24
Calculated formation energy (eV/atom): 2.251
Polymorph energy (0 for the lowest one) (meV/atom): 0
D(E_F) (states/eV per cell): 3.32


What did the third record say?
Material: Dy2Ga13
Method: DFT, PBE
State: relaxed

Structure (CIF):
```
data_Dy2Ga13
_chemical_formula_sum 'Dy2 Ga13'
_cell_length_a 7.245
_cell_length_b 7.245
_cell_length_c 8.291
_cell_angle_alpha 64.09
_cell_angle_beta 64.09
_cell_angle_gamma 60.00
_symmetry_space_group_name_H-M 'P 1'
_symmetry_Int_Tables_number 1
loop_
_symmetry_equiv_pos_as_xyz
'x,y,z'
loop_
_atom_site_label
_atom_site_fract_x
_atom_site_fract_y
_atom_site_fract_z
Dy1 0.265 0.265 0.204
Dy2 0.735 0.735 0.796
Ga1 0.500 0.500 0.500
Ga2 0.649 0.241 0.869
Ga3 0.241 0.241 0.869
Ga4 0.241 0.649 0.869
Ga5 0.759 0.351 0.131
Ga6 0.351 0.759 0.131
Ga7 0.759 0.759 0.131
Ga8 0.648 0.001 0.351
Ga9 0.001 0.001 0.351
Ga10 0.001 0.648 0.351
Ga11 0.999 0.352 0.649
Ga12 0.352 0.999 0.649
Ga13 0.999 0.999 0.649
```

Volume (Å³/atom): 21.70
Calculated formation energy (eV/atom): -0.129
D(E_F) (states/eV per cell): 6.24